Computed, not measured: a geometry-optimized Ba2TeIr structure at the PBE level of DFT.

The space group is Pmc2_1 (26). Its mass density is 7.30 g/cm³.

abc: 4.782 6.351 8.901
angles: 90.00 90.00 90.00
Sites, in units of the cell vectors:
Ba (0.500, 0.126, 0.319)
Te (0.500, 0.357, 0.973)
Ir (0.000, 0.169, 0.030)
Ba (0.000, 0.340, 0.678)
Ba (0.500, 0.874, 0.819)
Te (0.500, 0.643, 0.473)
Ir (0.000, 0.831, 0.530)
Ba (0.000, 0.660, 0.178)


Computed, not measured: a geometry-optimized PrNdTlCo2 structure at the PBE level of DFT.

The space group is Amm2 (38). Its mass density is 8.82 g/cm³.

abc: 3.992 7.533 7.533
angles: 30.33 90.00 90.00
Sites, in units of the cell vectors:
Co (0.500, 0.789, 0.789)
Co (0.500, 0.210, 0.210)
Tl (0.500, 0.001, 0.001)
Pr (0.000, 0.363, 0.363)
Nd (0.000, 0.638, 0.638)


Computed, not measured: a geometry-optimized TlCuReNi structure at the PBE level of DFT.

The space group is F-43m (216). Its mass density is 13.82 g/cm³. For the distance to the lowest polymorph of the same formula, the calculation gives 96 meV per atom.

abc: 4.434 4.434 4.434
angles: 60.00 60.00 60.00
Sites, in units of the cell vectors:
Cu (0.750, 0.750, 0.750)
Tl (0.000, 0.000, 0.000)
Re (0.250, 0.250, 0.250)
Ni (0.500, 0.500, 0.500)


What are the magnetic moment values for these records? In order: 0.0053, 0.2979, 0.5181 μB/atom.
What are the energy values for these records? In order: -4.546, -5.424, -5.212 eV per atom.